1.
A plane-wave DFT calculation with GGA-PBEsol was carried out for crystalline MnCo at its relaxed geometry.

Summary:
Energy of formation: 0.012 eV/atom
Density: 9.5 g cm⁻³
Total magnetization: 0.0 μB/cell

Cell: 2.4317 2.4317 3.9014 Å, 90.00 90.00 120.00°
With the nearest neighbours (Å) after each atom.
Space group P-6m2 (No. 187)
One atom of each set of equivalent atoms:
1 Mn 0.0000 0.0000 0.0000 (multiplicity 1)  6 Co 2.40, 6 Mn 2.43
2 Co 0.3333 0.6667 0.5000 (multiplicity 1)  6 Mn 2.40, 6 Co 2.43



2.
A plane-wave DFT calculation with GGA-PBEsol was carried out for crystalline Tm3AlNi8 at its relaxed geometry.

Summary:
Energy of formation: -0.490 eV/atom
Density: 10.0 g cm⁻³
Total magnetization: 0.0 μB/cell

Cell: 4.9440 4.9440 15.7018 Å, 90.00 90.00 120.00°
With the nearest neighbours (Å) after each atom.
Space group P6_3/mmc (No. 194)
One atom of each set of equivalent atoms:
1 Tm 0.3333 0.6667 0.0455 (multiplicity 4)  9 Ni 2.77-3.02, 3 Al 2.94
2 Tm 0.3333 0.6667 0.2500 (multiplicity 2)  18 Ni 2.85-3.16
3 Al 0.0000 0.0000 0.0000 (multiplicity 2)  6 Ni 2.44
4 Ni 0.0000 0.0000 0.2500 (multiplicity 2)  6 Ni 2.44
5 Ni 0.1691 0.3383 0.6250 (multiplicity 12)  6 Ni 2.41-2.51, 1 Al 2.44
6 Ni 0.3333 0.6667 0.7500 (multiplicity 2)  6 Ni 2.41



3.
A plane-wave DFT calculation with GGA-PBEsol was carried out for crystalline PbCl5 at its relaxed geometry.

Summary:
Formation energy (no corrections): -453 meV/atom
Density: 4.0 g cm⁻³
Total magnetization: 0.0 μB/cell

Cell: 10.2944 3.6326 9.6096 Å, 90.00 116.87 90.00°
With the nearest neighbours (Å) after each atom.
Space group Cm (No. 8)
One atom of each set of equivalent atoms:
1 Pb 0.0000 0.0000 0.0000 (multiplicity 2)  7 Cl 2.76-2.99
2 Cl 0.1598 0.5000 0.2312 (multiplicity 2)  2 Pb 2.76, 1 Cl 2.78
3 Cl 0.1734 0.0000 0.5678 (multiplicity 2)  1 Cl 2.02
4 Cl 0.2900 0.0000 0.9993 (multiplicity 2)  3 Pb 2.82-2.99
5 Cl 0.4603 0.5000 0.4116 (multiplicity 2)  1 Cl 2.02
6 Cl 0.4682 0.0000 0.7669 (multiplicity 2)  1 Cl 2.76, 2 Pb 2.79



4.
A plane-wave DFT calculation with GGA-PBEsol was carried out for crystalline ZrTa3Cd at its relaxed geometry.

Summary:
Energy of formation: 1.987 eV/atom
Density: 10.5 g cm⁻³
Total magnetization: 0.0 μB/cell

Cell: 4.9072 4.9072 4.9072 Å, 90.00 90.00 90.00°
With the nearest neighbours (Å) after each atom.
Space group Pm-3m (No. 221)
One atom of each set of equivalent atoms:
1 Zr 0.0000 0.0000 0.0000 (multiplicity 1)  12 Ta 3.47
2 Ta 0.0000 0.5000 0.5000 (multiplicity 3)  2 Cd 2.45
3 Cd 0.5000 0.5000 0.5000 (multiplicity 1)  6 Ta 2.45